# NaPm2Ge6, optimized geometry, DFT PBE
# - ρ (g cm⁻³) = 5.25
# - uncorrected energy (eV per atom) = -4.563
# - energy of formation from the pure elements (eV per atom) = -0.282
data_NaPm2Ge6
_cell_length_a 7.947
_cell_length_b 7.947
_cell_length_c 4.065
_cell_angle_alpha 104.64
_cell_angle_beta 104.64
_cell_angle_gamma 77.05
_space_group_name_H-M_alt 'P 1'
_space_group_IT_number 1
loop_
_space_group_symop_operation_xyz
'x,y,z'
loop_
_atom_site_label
_atom_site_type_symbol
_atom_site_fract_x
_atom_site_fract_y
_atom_site_fract_z
Na1 Na 0.000 0.000 0.000
Pm1 Pm 0.342 0.342 0.622
Pm2 Pm 0.655 0.655 0.931
Ge1 Ge 0.041 0.595 0.098
Ge2 Ge 0.358 0.640 0.277
Ge3 Ge 0.403 0.956 0.461
Ge4 Ge 0.595 0.041 0.098
Ge5 Ge 0.640 0.358 0.277
Ge6 Ge 0.956 0.403 0.461


# PmTm2Si4, optimized geometry, DFT PBE
# - uncorrected formation energy (eV per atom) = -0.751
# - ρ (g cm⁻³) = 6.93
# - uncorrected energy (eV per atom) = -5.806
data_PmTm2Si4
_cell_length_a 3.870
_cell_length_b 4.230
_cell_length_c 17.431
_cell_angle_alpha 90.00
_cell_angle_beta 90.00
_cell_angle_gamma 90.00
_space_group_name_H-M_alt 'P 1'
_space_group_IT_number 1
loop_
_space_group_symop_operation_xyz
'x,y,z'
loop_
_atom_site_label
_atom_site_type_symbol
_atom_site_fract_x
_atom_site_fract_y
_atom_site_fract_z
Pm1 Pm 0.000 0.000 0.000
Pm2 Pm 0.500 0.500 0.500
Tm1 Tm 0.000 0.500 0.316
Tm2 Tm 0.000 0.500 0.684
Tm3 Tm 0.500 0.000 0.184
Tm4 Tm 0.500 0.000 0.816
Si1 Si 0.000 0.000 0.432
Si2 Si 0.000 0.000 0.568
Si3 Si 0.000 0.500 0.151
Si4 Si 0.000 0.500 0.849
Si5 Si 0.500 0.000 0.349
Si6 Si 0.500 0.000 0.651
Si7 Si 0.500 0.500 0.068
Si8 Si 0.500 0.500 0.932